(1)
Dy2Y3HoP2Os: optimized geometry, PBE.

Lattice parameters (Å, degrees): 4.1385 7.7421 7.7421 119.85 90.00 90.00
Closest atoms and distances in Å follow each position.
Fractional positions:
Dy  0.5000  0.0000  0.7502  2 Os 2.84, 2 P 2.96-2.97
Dy  0.5000  0.7502  0.0000  2 Os 2.84, 2 P 2.96-2.97
Ho  0.5000  0.2499  0.2499  2 Os 2.83, 2 P 2.95
Y  0.0000  0.4098  0.0000  4 P 3.13, 1 Os 3.17, 4 Dy 3.35-3.46, 2 Ho 3.46
Y  0.0000  0.0000  0.4098  4 P 3.13, 1 Os 3.17, 4 Dy 3.35-3.46, 2 Ho 3.46
Y  0.0000  0.5889  0.5889  4 P 3.12, 1 Os 3.20, 2 Ho 3.35, 4 Dy 3.47
Os  0.0000  0.0019  0.0019  2 Ho 2.83, 4 Dy 2.84
P  0.5000  0.3336  0.6655  1 Ho 2.95, 2 Dy 2.96-2.97, 6 Y 3.12-3.13
P  0.5000  0.6655  0.3336  1 Ho 2.95, 2 Dy 2.96-2.97, 6 Y 3.12-3.13

Symmetry: Amm2 (38)
Raw total energy in eV/atom: -6.869
V in Å³/atom: 23.9

(2)
MgNbGa: optimized geometry, PBE.

Lattice parameters (Å, degrees): 4.4909 4.4909 4.4909 60.00 60.00 60.00
Closest atoms and distances in Å follow each position.
Fractional positions:
Ga  0.2500  0.2500  0.2500  4 Nb 2.75
Nb  0.0000  0.0000  0.0000  4 Ga 2.75, 4 Mg 2.75
Mg  0.7500  0.7500  0.7500  4 Nb 2.75

Symmetry: F-43m (216)
Raw total energy in eV/atom: -4.250
V in Å³/atom: 21.3

(3)
HoHfAl: optimized geometry, PBE.

Lattice parameters (Å, degrees): 4.8833 4.8833 4.8833 60.00 60.00 60.00
Closest atoms and distances in Å follow each position.
Fractional positions:
Ho  0.7500  0.7500  0.7500  4 Hf 2.99
Al  0.2500  0.2500  0.2500  4 Hf 2.99
Hf  0.0000  0.0000  0.0000  4 Ho 2.99, 4 Al 2.99

Symmetry: F-43m (216)
Raw total energy in eV/atom: -5.441
V in Å³/atom: 27.4
Energy above the most stable polymorph in this dataset in eV per atom: 0.000

(4)
AlFeCuW: optimized geometry, PBE.

Lattice parameters (Å, degrees): 4.1851 4.1851 4.1851 60.00 60.00 60.00
Closest atoms and distances in Å follow each position.
Fractional positions:
Al  0.5000  0.5000  0.5000  4 Cu 2.56, 4 Fe 2.56
Cu  0.7500  0.7500  0.7500  4 Al 2.56, 4 W 2.56
W  0.0000  0.0000  0.0000  4 Fe 2.56, 4 Cu 2.56
Fe  0.2500  0.2500  0.2500  4 W 2.56, 4 Al 2.56

Symmetry: F-43m (216)
Raw total energy in eV/atom: -7.197
V in Å³/atom: 13.0
Energy above the most stable polymorph in this dataset in eV per atom: 0.000

(5)
Zr2Tc: optimized geometry, PBE.

Lattice parameters (Å, degrees): 5.5298 5.5298 5.5298 60.00 60.00 60.00
Closest atoms and distances in Å follow each position.
Fractional positions:
Zr  0.1250  0.6250  0.6250  6 Zr 2.76
Zr  0.6250  0.1250  0.6250  6 Zr 2.76
Zr  0.6250  0.6250  0.6250  6 Zr 2.76
Zr  0.6250  0.6250  0.1250  6 Zr 2.76
Tc  0.2500  0.2500  0.2500  12 Zr 3.24, 4 Tc 3.39
Tc  0.0000  0.0000  0.0000  12 Zr 3.24, 4 Tc 3.39

Symmetry: Fd-3m (227)
Raw total energy in eV/atom: -8.446
Formation energy in meV/atom: 706
V in Å³/atom: 19.9
Energy above the most stable polymorph in this dataset in eV per atom: 0.981

(6)
CoGe2Sb: optimized geometry, PBE.

Lattice parameters (Å, degrees): 4.6745 4.6745 4.6745 60.00 60.00 60.00
Closest atoms and distances in Å follow each position.
Fractional positions:
Ge  0.7500  0.7500  0.7500  4 Sb 2.86, 4 Ge 2.86
Ge  0.0000  0.0000  0.0000  4 Ge 2.86, 4 Co 2.86
Sb  0.5000  0.5000  0.5000  4 Ge 2.86, 4 Co 2.86
Co  0.2500  0.2500  0.2500  4 Sb 2.86, 4 Ge 2.86

Symmetry: F-43m (216)
Raw total energy in eV/atom: -4.675
V in Å³/atom: 18.1

(7)
Nb3NiS6: optimized geometry, PBE.

Lattice parameters (Å, degrees): 5.8045 5.8045 11.8622 90.00 90.00 120.00
Closest atoms and distances in Å follow each position.
Fractional positions:
Ni  0.3333  0.6666  0.2500  6 S 2.39
Ni  0.6666  0.3333  0.7500  6 S 2.39
S  0.3319  0.3323  0.8674  1 Ni 2.39, 3 Nb 2.48-2.51
S  0.6681  0.0004  0.1326  1 Ni 2.39, 3 Nb 2.48-2.51
S  0.3319  0.9996  0.6326  1 Ni 2.39, 3 Nb 2.48-2.51
S  0.6681  0.6677  0.3674  1 Ni 2.39, 3 Nb 2.48-2.51
S  0.0004  0.3323  0.6326  1 Ni 2.39, 3 Nb 2.48-2.51
S  0.9996  0.3319  0.3674  1 Ni 2.39, 3 Nb 2.48-2.51
S  0.6677  0.9996  0.8674  1 Ni 2.39, 3 Nb 2.48-2.51
S  0.6677  0.6681  0.6326  1 Ni 2.39, 3 Nb 2.48-2.51
S  0.3323  0.0004  0.3674  1 Ni 2.39, 3 Nb 2.48-2.51
S  0.9996  0.6677  0.1326  1 Ni 2.39, 3 Nb 2.48-2.51
S  0.3323  0.3319  0.1326  1 Ni 2.39, 3 Nb 2.48-2.51
S  0.0004  0.6681  0.8674  1 Ni 2.39, 3 Nb 2.48-2.51
Nb  0.0000  0.0000  0.5000  6 S 2.49
Nb  0.0000  0.0000  0.0000  6 S 2.49
Nb  0.3333  0.6667  0.5021  6 S 2.48-2.51
Nb  0.6667  0.3333  0.4979  6 S 2.48-2.51
Nb  0.3333  0.6667  0.9979  6 S 2.48-2.51
Nb  0.6667  0.3333  0.0021  6 S 2.48-2.51

Symmetry: P6_322 (182)
Raw total energy in eV/atom: -7.048
V in Å³/atom: 17.3

(8)
GdDyGa4Co2: optimized geometry, PBE.

Lattice parameters (Å, degrees): 3.9936 9.1110 9.1110 25.95 90.00 90.00
Closest atoms and distances in Å follow each position.
Fractional positions:
Gd  0.0000  0.3566  0.3566  10 Ga 3.08-3.31, 4 Co 3.11
Co  0.5000  0.0743  0.0743  5 Ga 2.37-2.43, 1 Co 2.64
Co  0.5000  0.9258  0.9258  5 Ga 2.38-2.43, 1 Co 2.64
Ga  0.5000  0.5001  0.5001  4 Co 2.43
Ga  0.5000  0.7917  0.7917  1 Co 2.38, 2 Ga 2.53
Ga  0.5000  0.2081  0.2081  1 Co 2.37, 2 Ga 2.53
Ga  0.0000  0.0000  0.0000  4 Co 2.39
Dy  0.0000  0.6434  0.6434  10 Ga 3.08-3.31, 4 Co 3.11

Symmetry: Amm2 (38)
Raw total energy in eV/atom: -4.990
V in Å³/atom: 18.1

(9)
Gd3DyEr2Te2Pt: optimized geometry, PBE.

Lattice parameters (Å, degrees): 3.9801 8.4019 8.4019 120.17 90.00 90.00
Closest atoms and distances in Å follow each position.
Fractional positions:
Te  0.0000  0.6675  0.3331  6 Gd 3.24-3.25, 2 Er 3.24, 1 Dy 3.24
Te  0.0000  0.3331  0.6675  6 Gd 3.24-3.25, 2 Er 3.24, 1 Dy 3.24
Gd  0.5000  0.0000  0.4025  4 Te 3.24, 1 Pt 3.40, 4 Er 3.55-3.58, 2 Dy 3.56
Gd  0.5000  0.5987  0.5987  4 Te 3.25, 1 Pt 3.33, 4 Er 3.55, 2 Dy 3.57
Gd  0.5000  0.4025  0.0000  4 Te 3.24, 1 Pt 3.40, 4 Er 3.55-3.58, 2 Dy 3.56
Pt  0.5000  0.9963  0.9963  4 Er 2.84, 2 Dy 2.88
Er  0.0000  0.7570  0.0003  2 Pt 2.84
Er  0.0000  0.0003  0.7570  2 Pt 2.84
Dy  0.0000  0.2445  0.2445  2 Pt 2.88

Symmetry: Amm2 (38)
Raw total energy in eV/atom: -5.379
V in Å³/atom: 27.0

(10)
RbPdO3: optimized geometry, PBE.

Lattice parameters (Å, degrees): 5.6825 5.6825 5.6825 60.92 60.92 60.92
Closest atoms and distances in Å follow each position.
Fractional positions:
Pd  0.5000  0.5000  0.5000  6 O 2.04
Pd  0.0000  0.0000  0.0000  6 O 2.04
O  0.7912  0.2500  0.7088  2 Pd 2.04
O  0.2500  0.7088  0.7912  2 Pd 2.04
O  0.2088  0.7500  0.2912  2 Pd 2.04
O  0.7088  0.7912  0.2500  2 Pd 2.04
O  0.2912  0.2088  0.7500  2 Pd 2.04
O  0.7500  0.2912  0.2088  2 Pd 2.04
Rb  0.2500  0.2500  0.2500  9 O 2.64-2.85
Rb  0.7500  0.7500  0.7500  9 O 2.64-2.85

Symmetry: R-3c (167)
Raw total energy in eV/atom: -4.522
V in Å³/atom: 13.2

(11)
Pm2Al3Os: optimized geometry, PBE.

Lattice parameters (Å, degrees): 5.6255 5.6255 8.8432 90.00 90.00 120.00
Closest atoms and distances in Å follow each position.
Fractional positions:
Al  0.1595  0.8405  0.2500  4 Al 2.69-2.93, 2 Os 2.70
Al  0.8405  0.6810  0.7500  4 Al 2.69-2.93, 2 Os 2.70
Al  0.1595  0.3190  0.2500  4 Al 2.69-2.93, 2 Os 2.70
Al  0.8405  0.1595  0.7500  4 Al 2.69-2.93, 2 Os 2.70
Al  0.6810  0.8405  0.2500  4 Al 2.69-2.93, 2 Os 2.70
Al  0.3190  0.1595  0.7500  4 Al 2.69-2.93, 2 Os 2.70
Pm  0.6667  0.3333  0.4492  9 Al 3.15-3.32, 3 Os 3.28, 4 Pm 3.37-3.52
Pm  0.6667  0.3333  0.0508  9 Al 3.15-3.32, 3 Os 3.28, 4 Pm 3.37-3.52
Pm  0.3333  0.6667  0.9492  9 Al 3.15-3.32, 3 Os 3.28, 4 Pm 3.37-3.52
Pm  0.3333  0.6667  0.5508  9 Al 3.15-3.32, 3 Os 3.28, 4 Pm 3.37-3.52
Os  0.0000  0.0000  0.0000  6 Al 2.70
Os  0.0000  0.0000  0.5000  6 Al 2.70

Symmetry: P6_3/mmc (194)
Raw total energy in eV/atom: -5.848
V in Å³/atom: 20.2

(12)
MgHgSeO: optimized geometry, PBE.

Lattice parameters (Å, degrees): 7.3899 7.3899 5.9829 90.00 90.00 28.14
Closest atoms and distances in Å follow each position.
Fractional positions:
O  0.4111  0.4111  0.9998  2 Mg 2.02, 1 Hg 2.20
O  0.5889  0.5889  0.4998  2 Mg 2.02, 1 Hg 2.20
Hg  0.4393  0.4393  0.4213  1 O 2.20
Hg  0.5607  0.5607  0.9213  1 O 2.20
Se  0.8091  0.8091  0.5187  2 Hg 2.66, 3 Mg 2.66-2.93
Se  0.1909  0.1909  0.0187  2 Hg 2.66, 3 Mg 2.66-2.93
Mg  0.1499  0.1499  0.4528  2 O 2.02
Mg  0.8501  0.8501  0.9528  2 O 2.02

Symmetry: Cmc2_1 (36)
Raw total energy in eV/atom: -3.523
V in Å³/atom: 19.3
Energy above the most stable polymorph in this dataset in eV per atom: 0.240